(1)
An optimized crystal structure of TbMg2ReN4. Source: the Alexandria database, functional PBE.

```
16
Lattice="1.6268 -5.6884 0.0000 1.6268 5.6884 0.0000 0.0000 0.0000 11.1061" Properties=species:S:1:pos:R:3 pbc="T T T"
Tb 1.6268 4.7423 8.3296
Tb 1.6268 -4.7423 2.7765
Mg 1.6268 1.3115 5.8594
Mg 1.6268 1.3115 10.7997
Mg 1.6268 -1.3115 0.3064
Mg 1.6268 -1.3115 5.2467
Re 1.6268 3.6833 2.7765
Re 1.6268 -3.6833 8.3296
N 0.0000 0.0000 0.0000
N 0.0000 0.0000 5.5531
N 1.6268 2.5900 1.3279
N 1.6268 2.5900 4.2252
N 1.6268 0.7955 8.3296
N 1.6268 -0.7955 2.7765
N 1.6268 -2.5900 6.8810
N 1.6268 -2.5900 9.7782
```

Computed properties:
E_form (uncorrected)   -0.594 eV/atom
Fermi-level density of states   0.72 states/eV/f.u.
Space group   Cmcm, No. 63

(2)
An optimized crystal structure of MgReTeN2. Source: the Alexandria database, functional PBE.

```
5
Lattice="3.9163 0.0000 0.0000 0.0000 3.9163 0.0000 0.0000 0.0000 5.4225" Properties=species:S:1:pos:R:3 pbc="T T T"
Mg 0.0000 0.0000 0.0000
Re 1.9582 1.9582 2.7113
Te 0.0000 0.0000 2.7113
N 0.0000 1.9582 0.0000
N 1.9582 0.0000 0.0000
```

Computed properties:
Relative energy among the computed polymorphs   1.802 eV per atom
E_form (uncorrected)   2.044 eV/atom
Fermi-level density of states   6.26 states/eV/f.u.
Space group   P4/mmm, No. 123

- Among the records above, which one has the highest E_form (uncorrected)?
  MgReTeN2

- Among the records above, which one has the lowest E_form (uncorrected)?
  TbMg2ReN4